# 1
The following is a PBE calculation of AcSi2Sn2Au7 after structural relaxation, from Alexandria. Values from VASP.

Quantum ESPRESSO input file:
```
&SYSTEM
  ibrav = 0, nat = 12, ntyp = 4
/
ATOMIC_SPECIES
Ac 227.00 Ac.upf
Si 28.09 Si.upf
Sn 118.71 Sn.upf
Au 196.97 Au.upf
CELL_PARAMETERS angstrom
-0.582 -4.661 -0.126
0.754 0.535 -4.607
12.392 -1.329 2.154
ATOMIC_POSITIONS crystal
Ac 0.000 0.000 0.000
Si 0.655 0.655 0.761
Si 0.345 0.345 0.239
Sn 0.870 0.870 0.374
Sn 0.130 0.130 0.626
Au 0.500 0.500 0.000
Au 0.323 0.323 0.430
Au 0.677 0.677 0.570
Au 0.879 0.477 0.186
Au 0.477 0.879 0.186
Au 0.523 0.121 0.814
Au 0.121 0.523 0.814
```

Values from the calculation:
DOS(E_F): 4.82 states/eV per cell
energy: -4.0432 eV per atom


# 2
The following is a PBE calculation of AcSi2SnAu6 after structural relaxation, from Alexandria. Values from VASP.

Quantum ESPRESSO input file:
```
&SYSTEM
  ibrav = 0, nat = 10, ntyp = 4
/
ATOMIC_SPECIES
Ac 227.00 Ac.upf
Si 28.09 Si.upf
Sn 118.71 Sn.upf
Au 196.97 Au.upf
CELL_PARAMETERS angstrom
-4.179 -5.023 1.623
1.582 -4.209 5.011
-4.282 1.302 6.968
ATOMIC_POSITIONS crystal
Ac 0.000 0.000 0.000
Si 0.706 0.706 0.882
Si 0.294 0.294 0.118
Sn 0.500 0.500 0.500
Au 0.120 0.484 0.805
Au 0.591 0.120 0.805
Au 0.516 0.409 0.195
Au 0.880 0.516 0.195
Au 0.409 0.880 0.195
Au 0.484 0.591 0.805
```

Values from the calculation:
DOS(E_F): 3.97 states/eV per cell
energy: -3.9732 eV per atom


# 3
The following is a PBE calculation of Sr2AcSi3Au12 after structural relaxation, from Alexandria. Values from VASP.

Quantum ESPRESSO input file:
```
&SYSTEM
  ibrav = 0, nat = 18, ntyp = 4
/
ATOMIC_SPECIES
Sr 87.62 Sr.upf
Ac 227.00 Ac.upf
Si 28.09 Si.upf
Au 196.97 Au.upf
CELL_PARAMETERS angstrom
8.427 -0.215 -0.153
3.975 7.434 -0.153
3.975 2.314 7.067
ATOMIC_POSITIONS crystal
Sr 0.594 0.594 0.594
Sr 0.406 0.406 0.406
Ac 0.000 0.000 0.000
Si 0.500 0.000 0.000
Si 0.000 0.500 0.000
Si 0.000 0.000 0.500
Au 0.313 0.313 0.864
Au 0.848 0.848 0.439
Au 0.439 0.848 0.848
Au 0.864 0.313 0.313
Au 0.848 0.439 0.848
Au 0.313 0.864 0.313
Au 0.687 0.687 0.136
Au 0.152 0.152 0.561
Au 0.561 0.152 0.152
Au 0.136 0.687 0.687
Au 0.152 0.561 0.152
Au 0.687 0.136 0.687
```

Values from the calculation:
DOS(E_F): 5.21 states/eV per cell
energy: -3.7289 eV per atom


# 4
The following is a PBE calculation of SrAc2Si3Au12 after structural relaxation, from Alexandria. Values from VASP.

Quantum ESPRESSO input file:
```
&SYSTEM
  ibrav = 0, nat = 18, ntyp = 4
/
ATOMIC_SPECIES
Sr 87.62 Sr.upf
Ac 227.00 Ac.upf
Si 28.09 Si.upf
Au 196.97 Au.upf
CELL_PARAMETERS angstrom
8.371 -0.279 -0.198
3.892 7.416 -0.198
3.892 2.265 7.065
ATOMIC_POSITIONS crystal
Sr 0.000 0.000 0.000
Ac 0.598 0.598 0.598
Ac 0.402 0.402 0.402
Si 0.500 0.000 0.000
Si 0.000 0.500 0.000
Si 0.000 0.000 0.500
Au 0.315 0.315 0.861
Au 0.852 0.852 0.424
Au 0.424 0.852 0.852
Au 0.861 0.315 0.315
Au 0.852 0.424 0.852
Au 0.315 0.861 0.315
Au 0.685 0.685 0.139
Au 0.148 0.148 0.576
Au 0.576 0.148 0.148
Au 0.139 0.685 0.685
Au 0.148 0.576 0.148
Au 0.685 0.139 0.685
```

Values from the calculation:
DOS(E_F): 6.27 states/eV per cell
energy: -3.8680 eV per atom


# 5
The following is a PBE calculation of AcThSiAu after structural relaxation, from Alexandria. Values from VASP.

Quantum ESPRESSO input file:
```
&SYSTEM
  ibrav = 0, nat = 4, ntyp = 4
/
ATOMIC_SPECIES
Ac 227.00 Ac.upf
Au 196.97 Au.upf
Si 28.09 Si.upf
Th 232.04 Th.upf
CELL_PARAMETERS angstrom
-4.574 2.733 0.396
-4.437 -1.867 -2.318
-3.991 -1.893 3.006
ATOMIC_POSITIONS crystal
Ac 0.500 0.500 0.500
Au 0.250 0.250 0.250
Si 0.750 0.750 0.750
Th 0.000 0.000 0.000
```

Values from the calculation:
DOS(E_F): 6.30 states/eV per cell
energy: -5.4938 eV per atom


# 6
The following is a PBE calculation of Ac2ThSi3Au12 after structural relaxation, from Alexandria. Values from VASP.

Quantum ESPRESSO input file:
```
&SYSTEM
  ibrav = 0, nat = 18, ntyp = 4
/
ATOMIC_SPECIES
Ac 227.00 Ac.upf
Th 232.04 Th.upf
Si 28.09 Si.upf
Au 196.97 Au.upf
CELL_PARAMETERS angstrom
-3.614 7.394 1.612
-2.053 1.473 7.997
4.699 5.628 4.071
ATOMIC_POSITIONS crystal
Ac 0.600 0.600 0.600
Ac 0.400 0.400 0.400
Th 0.000 0.000 0.000
Si 0.500 0.000 0.000
Si 0.000 0.500 0.000
Si 0.000 0.000 0.500
Au 0.311 0.311 0.857
Au 0.859 0.859 0.410
Au 0.410 0.859 0.859
Au 0.857 0.311 0.311
Au 0.859 0.410 0.859
Au 0.311 0.857 0.311
Au 0.689 0.689 0.143
Au 0.141 0.141 0.590
Au 0.590 0.141 0.141
Au 0.143 0.689 0.689
Au 0.141 0.590 0.141
Au 0.689 0.143 0.689
```

Values from the calculation:
DOS(E_F): 7.17 states/eV per cell
energy: -4.1749 eV per atom


# 7
The following is a PBE calculation of AcTlSi2Au5 after structural relaxation, from Alexandria. Values from VASP.

Quantum ESPRESSO input file:
```
&SYSTEM
  ibrav = 0, nat = 9, ntyp = 4
/
ATOMIC_SPECIES
Ac 227.00 Ac.upf
Tl 204.38 Tl.upf
Si 28.09 Si.upf
Au 196.97 Au.upf
CELL_PARAMETERS angstrom
-3.817 0.242 -2.621
0.578 -4.427 -1.251
-5.714 -3.018 8.042
ATOMIC_POSITIONS crystal
Ac 0.000 0.000 0.500
Tl 0.000 0.000 0.000
Si 0.500 0.500 0.270
Si 0.500 0.500 0.730
Au 0.000 0.500 0.200
Au 0.500 0.000 0.200
Au 0.000 0.500 0.800
Au 0.500 0.000 0.800
Au 0.500 0.500 0.500
```

Values from the calculation:
DOS(E_F): 6.14 states/eV per cell
energy: -4.0089 eV per atom


# 8
The following is a PBE calculation of AcTmSiAu after structural relaxation, from Alexandria. Values from VASP.

Quantum ESPRESSO input file:
```
&SYSTEM
  ibrav = 0, nat = 4, ntyp = 4
/
ATOMIC_SPECIES
Ac 227.00 Ac.upf
Tm 168.93 Tm.upf
Au 196.97 Au.upf
Si 28.09 Si.upf
CELL_PARAMETERS angstrom
-3.259 0.883 4.042
-5.203 -0.484 -0.659
-2.575 -4.015 2.233
ATOMIC_POSITIONS crystal
Ac 0.750 0.750 0.750
Tm 0.250 0.250 0.250
Au 0.000 0.000 0.000
Si 0.500 0.500 0.500
```

Values from the calculation:
DOS(E_F): 3.95 states/eV per cell
energy: -4.8585 eV per atom


Which of these has the lowest DOS(E_F)?
AcTmSiAu


Please write out number 3 again, unchanged.
The following is a PBE calculation of Sr2AcSi3Au12 after structural relaxation, from Alexandria. Values from VASP.

Quantum ESPRESSO input file:
```
&SYSTEM
  ibrav = 0, nat = 18, ntyp = 4
/
ATOMIC_SPECIES
Sr 87.62 Sr.upf
Ac 227.00 Ac.upf
Si 28.09 Si.upf
Au 196.97 Au.upf
CELL_PARAMETERS angstrom
8.427 -0.215 -0.153
3.975 7.434 -0.153
3.975 2.314 7.067
ATOMIC_POSITIONS crystal
Sr 0.594 0.594 0.594
Sr 0.406 0.406 0.406
Ac 0.000 0.000 0.000
Si 0.500 0.000 0.000
Si 0.000 0.500 0.000
Si 0.000 0.000 0.500
Au 0.313 0.313 0.864
Au 0.848 0.848 0.439
Au 0.439 0.848 0.848
Au 0.864 0.313 0.313
Au 0.848 0.439 0.848
Au 0.313 0.864 0.313
Au 0.687 0.687 0.136
Au 0.152 0.152 0.561
Au 0.561 0.152 0.152
Au 0.136 0.687 0.687
Au 0.152 0.561 0.152
Au 0.687 0.136 0.687
```

Values from the calculation:
DOS(E_F): 5.21 states/eV per cell
energy: -3.7289 eV per atom


Which value of energy does entry 3 give?
-3.7289 eV per atom